Here is Mg2NiGe after structural relaxation from Alexandria. Energies are from PBE.

**DFT formation energy**: -129 meV per atom
**Space group**: P4/mmm, No. 123

a = 3.2173 Å, b = 3.2173 Å, c = 6.3569 Å
α = 90.00°, β = 90.00°, γ = 90.00°
With the nearest neighbours (Å) after each atom.
Fractional positions:
Mg: 0.0000 0.0000 0.2243  4 Ni 2.68, 1 Mg 2.85, 4 Ge 2.87
Mg: 0.0000 0.0000 0.7757  4 Ni 2.68, 1 Mg 2.85, 4 Ge 2.87
Ni: 0.5000 0.5000 0.0000  8 Mg 2.68
Ge: 0.5000 0.5000 0.5000  8 Mg 2.87, 2 Ni 3.18

=====

Here is YTm2Sn after structural relaxation from Alexandria. Energies are from PBE.

**DFT formation energy**: -298 meV per atom
**Space group**: P4/mmm, No. 123
**Distance to the lowest polymorph of the same formula**: 129 meV/atom

a = 3.6933 Å, b = 3.6933 Å, c = 8.4950 Å
α = 90.00°, β = 90.00°, γ = 90.00°
With the nearest neighbours (Å) after each atom.
Fractional positions:
Y: 0.0000 0.0000 0.0000  8 Tm 3.53, 4 Y 3.69
Tm: 0.5000 0.5000 0.2792  4 Sn 3.22, 4 Y 3.53
Tm: 0.5000 0.5000 0.7208  4 Sn 3.22, 4 Y 3.53
Sn: 0.0000 0.0000 0.5000  8 Tm 3.22

=====

Here is LiCu2Cl after structural relaxation from Alexandria. Energies are from PBE.

**Space group**: Fm-3m, No. 225
**Distance to the lowest polymorph of the same formula**: 717 meV/atom

a = 4.4291 Å, b = 4.4291 Å, c = 4.4291 Å
α = 60.00°, β = 60.00°, γ = 60.00°
With the nearest neighbours (Å) after each atom.
Fractional positions:
Li: 0.0000 0.0000 0.0000  8 Cu 2.71
Cu: 0.2500 0.2500 0.2500  4 Cl 2.71, 4 Li 2.71
Cu: 0.7500 0.7500 0.7500  4 Cl 2.71, 4 Li 2.71
Cl: 0.5000 0.5000 0.5000  8 Cu 2.71

=====

Values for DOS at the Fermi energy, states/eV/cell, ordered as above
1.3 5.3 0.4